# Sr2MgRe

A relaxed Sr2MgRe crystal (GGA-PBE, Alexandria via LeMat-Bulk).

Calculated values
- uncorrected energy (eV per atom) = -3.307
- magnetic moment (μB per cell) = 0.169

abc: 5.9296 3.1403 6.3897
angles: 90.00 116.03 90.00
Fractional coordinates of all 4 atoms:
1 Sr 0.0000 0.0000 0.0000
2 Sr 0.0000 0.5000 0.5000
3 Mg 0.5000 0.0000 0.5000
4 Re 0.5000 0.5000 0.0000



# Sr2MgRe

A relaxed Sr2MgRe crystal (GGA-PBE, Alexandria via LeMat-Bulk).

Calculated values
- uncorrected energy (eV per atom) = -3.577
- magnetic moment (μB per cell) = 0.000

abc: 3.2723 5.0450 6.9670
angles: 90.00 103.44 90.00
Fractional coordinates of all 4 atoms:
1 Sr 0.0000 0.0000 0.0000
2 Sr 0.3102 0.5000 0.6247
3 Mg 0.6047 0.5000 0.2124
4 Re 0.7054 0.0000 0.4128



# Sr2MgRe

A relaxed Sr2MgRe crystal (GGA-PBE, Alexandria via LeMat-Bulk).

Calculated values
- uncorrected energy (eV per atom) = -3.459
- magnetic moment (μB per cell) = 0.000

abc: 5.8665 5.8665 3.2296
angles: 90.00 90.00 96.78
Fractional coordinates of all 4 atoms:
1 Sr 0.0000 0.5000 0.0000
2 Sr 0.5000 0.0000 0.0000
3 Mg 0.0000 0.0000 0.5000
4 Re 0.5000 0.5000 0.5000



# SrMgRe3

A relaxed SrMgRe3 crystal (GGA-PBE, Alexandria via LeMat-Bulk).

Calculated values
- uncorrected energy (eV per atom) = -5.847
- magnetic moment (μB per cell) = 0.000

abc: 4.7265 4.7265 4.7265
angles: 90.00 90.00 90.00
Fractional coordinates of all 5 atoms:
1 Sr 0.0000 0.0000 0.0000
2 Mg 0.5000 0.5000 0.5000
3 Re 0.0000 0.5000 0.5000
4 Re 0.5000 0.0000 0.5000
5 Re 0.5000 0.5000 0.0000



# Sr2MgRe

A relaxed Sr2MgRe crystal (GGA-PBE, Alexandria via LeMat-Bulk).

Calculated values
- uncorrected energy (eV per atom) = -3.650
- magnetic moment (μB per cell) = 0.000

abc: 6.3163 6.3163 5.9048
angles: 106.03 106.03 29.48
Fractional coordinates of all 4 atoms:
1 Sr 0.0000 0.0000 0.0000
2 Sr 0.1913 0.1913 0.6244
3 Mg 0.7785 0.7785 0.1980
4 Re 0.4467 0.4467 0.4816



# Sr2MgRe

A relaxed Sr2MgRe crystal (GGA-PBE, Alexandria via LeMat-Bulk).

Calculated values
- uncorrected energy (eV per atom) = -3.483
- magnetic moment (μB per cell) = 0.837

abc: 5.6562 5.6562 5.6562
angles: 128.76 128.76 75.39
Fractional coordinates of all 4 atoms:
1 Sr 0.0000 0.0000 0.0000
2 Sr 0.7500 0.2500 0.5000
3 Mg 0.2500 0.7500 0.5000
4 Re 0.5000 0.5000 0.0000



# Sr2MgRe

A relaxed Sr2MgRe crystal (GGA-PBE, Alexandria via LeMat-Bulk).

Calculated values
- uncorrected energy (eV per atom) = -3.634
- magnetic moment (μB per cell) = 0.000

abc: 7.0456 7.0456 7.0456
angles: 153.24 131.86 55.92
Fractional coordinates of all 4 atoms:
1 Sr 0.0000 0.0000 0.0000
2 Sr 0.6899 0.1899 0.5000
3 Mg 0.2955 0.7955 0.5000
4 Re 0.4728 0.4728 0.0000



# Sr2MgRe

A relaxed Sr2MgRe crystal (GGA-PBE, Alexandria via LeMat-Bulk).

Calculated values
- uncorrected energy (eV per atom) = -3.574
- magnetic moment (μB per cell) = 1.584

abc: 3.5210 3.5210 9.6111
angles: 90.00 90.00 90.00
Fractional coordinates of all 4 atoms:
1 Sr 0.0000 0.0000 0.2083
2 Sr 0.0000 0.0000 0.7917
3 Mg 0.5000 0.5000 0.5000
4 Re 0.5000 0.5000 0.0000